# 1
The following is a PBE calculation of an optimized crystal structure of K5NpSe5, from Alexandria via LeMat-Bulk.

Computed properties:
Its crystal system is monoclinic. The value obtained for the total magnetic moment is 2.00 μB/f.u. For the raw formation energy, the calculation gives -1.114 eV/atom.

a = 15.105 Å, b = 6.157 Å, c = 8.958 Å
α = 90.00°, β = 108.72°, γ = 90.00°
Space group C2/m (No. 12)
Asymmetric unit:
K1 0.000 0.000 0.000
K2 0.177 0.500 0.353
K3 0.195 0.500 0.814
Np1 0.000 0.000 0.500
Se1 0.000 0.500 0.500
Se2 0.132 0.000 0.350
Se3 0.140 0.000 0.791

---

# 2
The following is a PBE calculation of an optimized crystal structure of KNpSe3, from Alexandria via LeMat-Bulk.

Computed properties:
Its crystal system is cubic. The value obtained for the total magnetic moment is 2.00 μB/f.u. For the raw formation energy, the calculation gives -1.048 eV/atom.

a = 5.443 Å, b = 5.443 Å, c = 5.443 Å
α = 90.00°, β = 90.00°, γ = 90.00°
Space group Pm-3m (No. 221)
Asymmetric unit:
K1 0.000 0.000 0.000
Np1 0.500 0.500 0.500
Se1 0.000 0.500 0.500

---

# 3
The following is a PBE calculation of an optimized crystal structure of K2NpSe3, from Alexandria via LeMat-Bulk.

Computed properties:
Its crystal system is orthorhombic. The value obtained for the total magnetic moment is 3.00 μB/f.u. For the raw formation energy, the calculation gives -1.136 eV/atom.

a = 6.021 Å, b = 15.447 Å, c = 4.301 Å
α = 90.00°, β = 90.00°, γ = 90.00°
Space group Cmmm (No. 65)
Asymmetric unit:
K1 0.000 0.160 0.000
Np1 0.000 0.500 0.500
Se1 0.000 0.000 0.500
Se2 0.000 0.380 0.000

---

# 4
The following is a PBE calculation of an optimized crystal structure of K4NpSe5, from Alexandria via LeMat-Bulk.

Computed properties:
Its crystal system is tetragonal. The value obtained for the total magnetic moment is 0.95 μB/f.u. For the raw formation energy, the calculation gives -1.076 eV/atom.

a = 10.303 Å, b = 10.303 Å, c = 6.413 Å
α = 90.00°, β = 90.00°, γ = 90.00°
Space group I4 (No. 79)
Asymmetric unit:
K1 0.099 0.700 0.000
Np1 0.000 0.000 0.525
Se1 0.000 0.000 0.945
Se2 0.079 0.753 0.500

---

# 5
The following is a PBE calculation of an optimized crystal structure of K4SmNp3Se8, from Alexandria via LeMat-Bulk.

Computed properties:
Its crystal system is trigonal. The value obtained for the total magnetic moment is 12.00 μB/f.u. For the raw formation energy, the calculation gives -1.381 eV/atom.

a = 8.5629 Å, b = 8.5629 Å, c = 22.9960 Å
α = 90.00°, β = 90.00°, γ = 120.00°
Space group R-3m (No. 166, hexagonal axes)
Asymmetric unit:
K1 0.0000 0.0000 0.0000
K2 0.0000 0.5000 0.0000
Sm1 0.0000 0.0000 0.5000
Np1 0.0000 0.5000 0.5000
Se1 0.0000 0.0000 0.2344
Se2 0.0019 0.5009 0.7642

---

# 6
The following is a PBE calculation of an optimized crystal structure of K2SmNpSe4, from Alexandria via LeMat-Bulk.

Computed properties:
Its crystal system is monoclinic. The value obtained for the total magnetic moment is 4.00 μB/f.u. For the raw formation energy, the calculation gives -1.501 eV/atom.

a = 7.444 Å, b = 4.290 Å, c = 8.068 Å
α = 90.00°, β = 107.94°, γ = 90.00°
Space group P2/m (No. 10)
Asymmetric unit:
K1 0.000 0.000 0.000
K2 0.500 0.500 0.000
Sm1 0.000 0.500 0.500
Np1 0.500 0.000 0.500
Se1 0.237 0.000 0.709
Se2 0.267 0.500 0.294

---

# 7
The following is a PBE calculation of an optimized crystal structure of K3SmNp3Se8, from Alexandria via LeMat-Bulk.

Computed properties:
Its crystal system is monoclinic. The value obtained for the total magnetic moment is 3.75 μB/f.u. For the raw formation energy, the calculation gives -1.349 eV/atom.

a = 14.729 Å, b = 8.489 Å, c = 9.163 Å
α = 90.00°, β = 122.27°, γ = 90.00°
Space group C2/m (No. 12)
Asymmetric unit:
K1 0.000 0.000 0.000
K2 0.250 0.250 0.000
Sm1 0.000 0.000 0.500
Np1 0.000 0.500 0.500
Np2 0.250 0.250 0.500
Se1 0.016 0.254 0.297
Se2 0.235 0.500 0.705
Se3 0.237 0.000 0.701

---

# 8
The following is a PBE calculation of an optimized crystal structure of K3Sm2NpSe6, from Alexandria via LeMat-Bulk.

Computed properties:
Its crystal system is monoclinic. The value obtained for the total magnetic moment is 4.00 μB/f.u. For the raw formation energy, the calculation gives -1.583 eV/atom.

a = 7.450 Å, b = 12.889 Å, c = 8.078 Å
α = 90.00°, β = 107.85°, γ = 90.00°
Space group C2/m (No. 12)
Asymmetric unit:
K1 0.000 0.000 0.000
K2 0.000 0.332 0.000
Sm1 0.000 0.166 0.500
Np1 0.000 0.500 0.500
Se1 0.236 0.334 0.708
Se2 0.238 0.000 0.709

---

# 9
The following is a PBE calculation of an optimized crystal structure of K3SmNp2Se6, from Alexandria via LeMat-Bulk.

Computed properties:
Its crystal system is monoclinic. The value obtained for the total magnetic moment is 8.00 μB/f.u. For the raw formation energy, the calculation gives -1.418 eV/atom.

a = 7.414 Å, b = 12.841 Å, c = 8.069 Å
α = 90.00°, β = 107.83°, γ = 90.00°
Space group C2/m (No. 12)
Asymmetric unit:
K1 0.000 0.000 0.000
K2 0.000 0.334 0.000
Sm1 0.000 0.500 0.500
Np1 0.000 0.167 0.500
Se1 0.233 0.000 0.707
Se2 0.237 0.332 0.707

---

# 10
The following is a PBE calculation of an optimized crystal structure of K4Np3SnSe8, from Alexandria via LeMat-Bulk.

Computed properties:
Its crystal system is trigonal. The value obtained for the total magnetic moment is 11.00 μB/f.u. For the raw formation energy, the calculation gives -1.168 eV/atom.

a = 8.6480 Å, b = 8.6480 Å, c = 22.7497 Å
α = 90.00°, β = 90.00°, γ = 120.00°
Space group R-3m (No. 166, hexagonal axes)
Asymmetric unit:
K1 0.0000 0.0000 0.0000
K2 0.0000 0.5000 0.0000
Np1 0.0000 0.5000 0.5000
Sn1 0.0000 0.0000 0.5000
Se1 0.0000 0.0000 0.2347
Se2 0.0122 0.5061 0.7653

---

# 11
The following is a PBE calculation of an optimized crystal structure of KNpSnSe3, from Alexandria via LeMat-Bulk.

Computed properties:
Its crystal system is monoclinic. The value obtained for the total magnetic moment is 3.94 μB/f.u. For the raw formation energy, the calculation gives -0.954 eV/atom.

a = 8.549 Å, b = 4.255 Å, c = 11.551 Å
α = 90.00°, β = 106.83°, γ = 90.00°
Space group P2_1/m (No. 11)
Asymmetric unit:
K1 0.212 0.250 0.244
Np1 0.359 0.750 0.849
Sn1 0.154 0.250 0.564
Se1 0.109 0.250 0.787
Se2 0.370 0.750 0.598
Se3 0.400 0.750 0.104

---

# 12
The following is a PBE calculation of an optimized crystal structure of K3Np2SnSe6, from Alexandria via LeMat-Bulk.

Computed properties:
Its crystal system is monoclinic. The value obtained for the total magnetic moment is 7.00 μB/f.u. For the raw formation energy, the calculation gives -1.141 eV/atom.

a = 7.470 Å, b = 12.934 Å, c = 7.991 Å
α = 90.00°, β = 108.16°, γ = 90.00°
Space group C2/m (No. 12)
Asymmetric unit:
K1 0.000 0.000 0.000
K2 0.000 0.339 0.000
Np1 0.000 0.167 0.500
Sn1 0.000 0.500 0.500
Se1 0.219 0.000 0.704
Se2 0.244 0.325 0.705

---

# 13
The following is a PBE calculation of an optimized crystal structure of K3Np3SnSe8, from Alexandria via LeMat-Bulk.

Computed properties:
Its crystal system is trigonal. The value obtained for the total magnetic moment is 9.99 μB/f.u. For the raw formation energy, the calculation gives -1.125 eV/atom.

a = 8.5089 Å, b = 8.5089 Å, c = 22.9002 Å
α = 90.00°, β = 90.00°, γ = 120.00°
Space group R-3m (No. 166, hexagonal axes)
Asymmetric unit:
K1 0.0000 0.5000 0.0000
Np1 0.0000 0.5000 0.5000
Sn1 0.0000 0.0000 0.5000
Se1 0.0000 0.0000 0.2348
Se2 0.0160 0.5080 0.7665

---

# 14
The following is a PBE calculation of an optimized crystal structure of K3Sr2NpSe6, from Alexandria via LeMat-Bulk.

Computed properties:
Its crystal system is monoclinic. The value obtained for the total magnetic moment is 2.00 μB/f.u. For the raw formation energy, the calculation gives -1.483 eV/atom.

a = 7.645 Å, b = 13.235 Å, c = 8.060 Å
α = 90.00°, β = 108.62°, γ = 90.00°
Space group C2/m (No. 12)
Asymmetric unit:
K1 0.000 0.000 0.000
K2 0.000 0.329 0.000
Sr1 0.000 0.166 0.500
Np1 0.000 0.500 0.500
Se1 0.221 0.349 0.710
Se2 0.229 0.500 0.292

---

# 15
The following is a PBE calculation of an optimized crystal structure of K4TbNp3Se8, from Alexandria via LeMat-Bulk.

Computed properties:
Its crystal system is trigonal. The value obtained for the total magnetic moment is 12.00 μB/f.u. For the raw formation energy, the calculation gives -1.381 eV/atom.

a = 8.5298 Å, b = 8.5298 Å, c = 22.9871 Å
α = 90.00°, β = 90.00°, γ = 120.00°
Space group R-3m (No. 166, hexagonal axes)
Asymmetric unit:
K1 0.0000 0.0000 0.0000
K2 0.0000 0.5000 0.0000
Tb1 0.0000 0.0000 0.5000
Np1 0.0000 0.5000 0.5000
Se1 0.0000 0.0000 0.2346
Se2 0.0020 0.5010 0.2354

---

# 16
The following is a PBE calculation of an optimized crystal structure of K3TbNp3Se8, from Alexandria via LeMat-Bulk.

Computed properties:
Its crystal system is monoclinic. The value obtained for the total magnetic moment is 3.75 μB/f.u. For the raw formation energy, the calculation gives -1.353 eV/atom.

a = 14.672 Å, b = 8.454 Å, c = 9.165 Å
α = 90.00°, β = 122.13°, γ = 90.00°
Space group C2/m (No. 12)
Asymmetric unit:
K1 0.000 0.000 0.000
K2 0.250 0.250 0.000
Tb1 0.000 0.000 0.500
Np1 0.000 0.500 0.500
Np2 0.250 0.250 0.500
Se1 0.016 0.250 0.298
Se2 0.234 0.000 0.700
Se3 0.235 0.500 0.705

---

# 17
The following is a PBE calculation of an optimized crystal structure of K2Tb2NpSe6, from Alexandria via LeMat-Bulk.

Computed properties:
Its crystal system is monoclinic. The value obtained for the total magnetic moment is 3.00 μB/f.u. For the raw formation energy, the calculation gives -1.576 eV/atom.

a = 7.249 Å, b = 12.530 Å, c = 8.220 Å
α = 90.00°, β = 107.33°, γ = 90.00°
Space group C2/m (No. 12)
Asymmetric unit:
K1 0.000 0.169 0.000
Tb1 0.000 0.333 0.500
Np1 0.000 0.000 0.500
Se1 0.231 0.164 0.701
Se2 0.241 0.500 0.700

---

# 18
The following is a PBE calculation of an optimized crystal structure of K2TbNpSe4, from Alexandria via LeMat-Bulk.

Computed properties:
Its crystal system is monoclinic. The value obtained for the total magnetic moment is 4.00 μB/f.u. For the raw formation energy, the calculation gives -1.503 eV/atom.

a = 7.387 Å, b = 4.256 Å, c = 8.055 Å
α = 90.00°, β = 107.82°, γ = 90.00°
Space group P2/m (No. 10)
Asymmetric unit:
K1 0.000 0.000 0.000
K2 0.500 0.500 0.000
Tb1 0.000 0.500 0.500
Np1 0.500 0.000 0.500
Se1 0.232 0.000 0.707
Se2 0.263 0.500 0.295

---

# 19
The following is a PBE calculation of an optimized crystal structure of K3Tb3NpSe8, from Alexandria via LeMat-Bulk.

Computed properties:
Its crystal system is trigonal. The value obtained for the total magnetic moment is 3.00 μB/f.u. For the raw formation energy, the calculation gives -1.627 eV/atom.

a = 8.3979 Å, b = 8.3979 Å, c = 23.3947 Å
α = 90.00°, β = 90.00°, γ = 120.00°
Space group R-3m (No. 166, hexagonal axes)
Asymmetric unit:
K1 0.0000 0.5000 0.0000
Tb1 0.0000 0.5000 0.5000
Np1 0.0000 0.0000 0.5000
Se1 0.0000 0.0000 0.2350
Se2 0.0047 0.5024 0.2335

---

# 20
The following is a PBE calculation of an optimized crystal structure of K4Tb3NpSe8, from Alexandria via LeMat-Bulk.

Computed properties:
Its crystal system is trigonal. The value obtained for the total magnetic moment is 4.00 μB/f.u. For the raw formation energy, the calculation gives -1.630 eV/atom.

a = 8.4968 Å, b = 8.4968 Å, c = 23.0440 Å
α = 90.00°, β = 90.00°, γ = 120.00°
Space group R-3m (No. 166, hexagonal axes)
Asymmetric unit:
K1 0.0000 0.0000 0.0000
K2 0.0000 0.5000 0.0000
Tb1 0.0000 0.5000 0.5000
Np1 0.0000 0.0000 0.5000
Se1 0.0000 0.0000 0.2354
Se2 0.0028 0.5014 0.7646